VASP calculation (GGA-PBEsol) on an optimized crystal structure of ZnRe2BPt.

Lattice parameters (Å, degrees): 4.823 4.823 3.838 90.00 90.00 90.00
Space group P4/mmm (No. 123)
Inequivalent atoms, fractional coordinates:
Zn 0.000 0.000 0.000 (multiplicity 1)
Re 0.000 0.500 0.500 (multiplicity 2)
B 0.500 0.500 0.000 (multiplicity 1)
Pt 0.500 0.500 0.500 (multiplicity 1)

Calculated density = 11.97 g/cm3
Final energy = -6.37 eV/atom
Size of the total moment = 0.00 μB/cell

***

VASP calculation (GGA-PBEsol) on an optimized crystal structure of CdAuBr2.

Lattice parameters (Å, degrees): 3.575 6.939 8.877 90.00 90.00 90.00
Space group Imm2 (No. 44)
Inequivalent atoms, fractional coordinates:
Cd 0.000 0.000 0.000 (multiplicity 2)
Au 0.000 0.500 0.273 (multiplicity 2)
Br 0.000 0.000 0.560 (multiplicity 2)
Br 0.000 0.500 0.718 (multiplicity 2)

Calculated density = 7.08 g/cm3
Final energy = -2.36 eV/atom
Formation energy without anion corrections = -0.14 eV per atom
Size of the total moment = 0.00 μB/cell

***

VASP calculation (GGA-PBEsol) on an optimized crystal structure of Tl3PF.

Lattice parameters (Å, degrees): 5.422 5.422 5.422 90.00 90.00 90.00
Space group Pm-3m (No. 221)
Inequivalent atoms, fractional coordinates:
Tl 0.000 0.000 0.500 (multiplicity 3)
P 0.000 0.000 0.000 (multiplicity 1)
F 0.500 0.500 0.500 (multiplicity 1)

Calculated density = 6.91 g/cm3
Final energy = -3.12 eV/atom
Formation energy without anion corrections = 0.01 eV per atom
Size of the total moment = 0.00 μB/cell

***

VASP calculation (GGA-PBEsol) on an optimized crystal structure of BaSiCl3.

Lattice parameters (Å, degrees): 5.099 5.099 5.099 90.00 90.00 90.00
Space group Pm-3m (No. 221)
Inequivalent atoms, fractional coordinates:
Ba 0.000 0.000 0.000 (multiplicity 1)
Si 0.500 0.500 0.500 (multiplicity 1)
Cl 0.000 0.500 0.500 (multiplicity 3)

Calculated density = 3.40 g/cm3
Final energy = -3.86 eV/atom
Formation energy without anion corrections = -1.08 eV per atom
Size of the total moment = 0.00 μB/cell

***

VASP calculation (GGA-PBEsol) on an optimized crystal structure of TlAgSb.

Lattice parameters (Å, degrees): 4.9156 4.9156 3.5130 90.00 90.00 120.00
Space group P3m1 (No. 156)
Inequivalent atoms, fractional coordinates:
Tl 0.0000 0.0000 0.0000 (multiplicity 1)
Ag 0.6667 0.3333 0.4972 (multiplicity 1)
Sb 0.3333 0.6667 0.4992 (multiplicity 1)

Calculated density = 9.80 g/cm3
Final energy = -3.41 eV/atom
Formation energy without anion corrections = 0.09 eV per atom
Size of the total moment = 0.00 μB/cell

***

VASP calculation (GGA-PBEsol) on an optimized crystal structure of Y2AsOs.

Lattice parameters (Å, degrees): 4.757 4.757 7.198 90.00 90.00 90.00
Space group I4/mmm (No. 139)
Inequivalent atoms, fractional coordinates:
Y 0.000 0.500 0.250 (multiplicity 4)
As 0.000 0.000 0.000 (multiplicity 2)
Os 0.000 0.000 0.500 (multiplicity 2)

Calculated density = 9.03 g/cm3
Final energy = -8.19 eV/atom
Size of the total moment = 0.00 μB/cell

***

VASP calculation (GGA-PBEsol) on an optimized crystal structure of ZnSbPb2.

Lattice parameters (Å, degrees): 7.480 7.480 7.480 90.00 90.00 90.00
Space group Fm-3m (No. 225)
Inequivalent atoms, fractional coordinates:
Zn 0.000 0.000 0.000 (multiplicity 4)
Sb 0.000 0.000 0.500 (multiplicity 4)
Pb 0.250 0.250 0.250 (multiplicity 8)

Calculated density = 9.55 g/cm3
Final energy = -3.37 eV/atom
Formation energy without anion corrections = 0.16 eV per atom
Size of the total moment = 0.00 μB/cell

***

VASP calculation (GGA-PBEsol) on an optimized crystal structure of SnOsS2.

Lattice parameters (Å, degrees): 3.5116 3.5116 23.5446 90.00 90.00 120.00
Space group R-3m (No. 166, hexagonal axes)
Inequivalent atoms, fractional coordinates:
Sn 0.0000 0.0000 0.0000 (multiplicity 3)
Os 0.0000 0.0000 0.5000 (multiplicity 3)
S 0.0000 0.0000 0.1166 (multiplicity 6)

Calculated density = 7.39 g/cm3
Final energy = -6.40 eV/atom
Formation energy without anion corrections = -0.09 eV per atom
Size of the total moment = 0.00 μB/cell

***

VASP calculation (GGA-PBEsol) on an optimized crystal structure of CoOs2.

Lattice parameters (Å, degrees): 2.684 13.575 4.230 90.00 90.00 90.00
Space group Cmcm (No. 63)
Inequivalent atoms, fractional coordinates:
Co 0.000 0.225 0.250 (multiplicity 4)
Os 0.000 0.117 0.750 (multiplicity 4)
Os 0.000 0.441 0.750 (multiplicity 4)

Calculated density = 18.94 g/cm3
Final energy = -10.63 eV/atom
Size of the total moment = 3.44 μB/cell

***

VASP calculation (GGA-PBEsol) on an optimized crystal structure of Y2TaSbN.

Lattice parameters (Å, degrees): 5.391 5.391 5.098 90.00 90.00 90.00
Space group P4/mmm (No. 123)
Inequivalent atoms, fractional coordinates:
Y 0.000 0.500 0.000 (multiplicity 2)
Ta 0.000 0.000 0.000 (multiplicity 1)
Sb 0.000 0.000 0.500 (multiplicity 1)
N 0.500 0.500 0.500 (multiplicity 1)

Calculated density = 5.54 g/cm3
Final energy = -6.51 eV/atom
Formation energy without anion corrections = 1.34 eV per atom
Size of the total moment = 1.55 μB/cell

***

VASP calculation (GGA-PBEsol) on an optimized crystal structure of KRuPb2.

Lattice parameters (Å, degrees): 4.4740 4.4740 19.9769 90.00 90.00 120.00
Space group R3m (No. 160, hexagonal axes)
Inequivalent atoms, fractional coordinates:
K 0.0000 0.0000 0.0000 (multiplicity 3)
Ru 0.0000 0.0000 0.1743 (multiplicity 3)
Pb 0.0000 0.0000 0.5537 (multiplicity 3)
Pb 0.0000 0.0000 0.7901 (multiplicity 3)

Calculated density = 7.98 g/cm3
Final energy = -4.53 eV/atom
Size of the total moment = 0.00 μB/cell

***

VASP calculation (GGA-PBEsol) on an optimized crystal structure of NdGa.

Lattice parameters (Å, degrees): 4.389 11.173 4.104 90.00 90.00 90.00
Space group Cmcm (No. 63)
Inequivalent atoms, fractional coordinates:
Nd 0.000 0.142 0.250 (multiplicity 4)
Ga 0.000 0.430 0.250 (multiplicity 4)

Calculated density = 7.06 g/cm3
Final energy = -4.86 eV/atom
Size of the total moment = 0.00 μB/cell

***

VASP calculation (GGA-PBEsol) on an optimized crystal structure of LiSc2Ta.

Lattice parameters (Å, degrees): 6.738 6.738 6.738 90.00 90.00 90.00
Space group F-43m (No. 216)
Inequivalent atoms, fractional coordinates:
Li 0.000 0.000 0.000 (multiplicity 4)
Sc 0.000 0.000 0.500 (multiplicity 4)
Sc 0.250 0.250 0.750 (multiplicity 4)
Ta 0.250 0.250 0.250 (multiplicity 4)

Calculated density = 6.03 g/cm3
Final energy = -6.42 eV/atom
Size of the total moment = 0.01 μB/cell

***

VASP calculation (GGA-PBEsol) on an optimized crystal structure of AgBr.

Lattice parameters (Å, degrees): 4.1950 4.1950 6.0139 90.00 90.00 120.00
Space group P6_3/mmc (No. 194)
Inequivalent atoms, fractional coordinates:
Ag 0.0000 0.0000 0.0000 (multiplicity 2)
Br 0.3333 0.6667 0.2500 (multiplicity 2)

Calculated density = 6.80 g/cm3
Final energy = -2.86 eV/atom
Formation energy without anion corrections = -0.26 eV per atom
Size of the total moment = 0.00 μB/cell

***

VASP calculation (GGA-PBEsol) on an optimized crystal structure of Dy4MgRu.

Lattice parameters (Å, degrees): 13.485 13.485 13.485 90.00 90.00 90.00
Space group F-43m (No. 216)
Inequivalent atoms, fractional coordinates:
Dy 0.000 0.000 0.187 (multiplicity 24)
Dy 0.061 0.250 0.250 (multiplicity 24)
Dy 0.156 0.156 0.656 (multiplicity 16)
Mg 0.079 0.079 0.421 (multiplicity 16)
Ru 0.139 0.139 0.861 (multiplicity 16)

Calculated density = 8.40 g/cm3
Final energy = -5.52 eV/atom
Size of the total moment = 0.00 μB/cell

***

VASP calculation (GGA-PBEsol) on an optimized crystal structure of Sr2YAgHg.

Lattice parameters (Å, degrees): 5.923 5.923 5.473 90.00 90.00 90.00
Space group P4/mmm (No. 123)
Inequivalent atoms, fractional coordinates:
Sr 0.000 0.500 0.000 (multiplicity 2)
Y 0.000 0.000 0.500 (multiplicity 1)
Ag 0.000 0.000 0.000 (multiplicity 1)
Hg 0.500 0.500 0.500 (multiplicity 1)

Calculated density = 4.95 g/cm3
Final energy = -2.75 eV/atom
Size of the total moment = 0.01 μB/cell

***

VASP calculation (GGA-PBEsol) on an optimized crystal structure of InRu.

Lattice parameters (Å, degrees): 6.438 6.438 6.438 90.00 90.00 90.00
Space group Fd-3m (No. 227, origin choice 2)
Inequivalent atoms, fractional coordinates:
In 0.125 0.125 0.125 (multiplicity 8)
Ru 0.125 0.125 0.625 (multiplicity 8)

Calculated density = 10.75 g/cm3
Final energy = -6.13 eV/atom
Size of the total moment = 7.95 μB/cell

***

VASP calculation (GGA-PBEsol) on an optimized crystal structure of FeBRuSe2.

Lattice parameters (Å, degrees): 4.428 4.428 4.415 90.00 90.00 90.00
Space group P4/mmm (No. 123)
Inequivalent atoms, fractional coordinates:
Fe 0.000 0.000 0.000 (multiplicity 1)
B 0.500 0.500 0.500 (multiplicity 1)
Ru 0.000 0.000 0.500 (multiplicity 1)
Se 0.000 0.500 0.000 (multiplicity 2)

Calculated density = 6.25 g/cm3
Final energy = -5.16 eV/atom
Formation energy without anion corrections = 1.61 eV per atom
Size of the total moment = 0.01 μB/cell

***

VASP calculation (GGA-PBEsol) on an optimized crystal structure of InTeP2S.

Lattice parameters (Å, degrees): 4.981 4.981 4.793 90.00 90.00 90.00
Space group P4/mmm (No. 123)
Inequivalent atoms, fractional coordinates:
In 0.000 0.000 0.000 (multiplicity 1)
Te 0.500 0.500 0.500 (multiplicity 1)
P 0.000 0.500 0.000 (multiplicity 2)
S 0.000 0.000 0.500 (multiplicity 1)

Calculated density = 4.70 g/cm3
Final energy = -3.57 eV/atom
Formation energy without anion corrections = 0.92 eV per atom
Size of the total moment = 0.00 μB/cell

***

VASP calculation (GGA-PBEsol) on an optimized crystal structure of Ru2W.

Lattice parameters (Å, degrees): 3.808 3.808 23.389 90.00 90.00 90.00
Space group I4_1/amd (No. 141, origin choice 2)
Inequivalent atoms, fractional coordinates:
Ru 0.000 0.250 0.124 (multiplicity 8)
Ru 0.000 0.250 0.293 (multiplicity 8)
W 0.000 0.250 0.796 (multiplicity 8)

Calculated density = 15.12 g/cm3
Final energy = -11.38 eV/atom
Size of the total moment = 0.00 μB/cell

***

VASP calculation (GGA-PBEsol) on an optimized crystal structure of SrYCu.

Lattice parameters (Å, degrees): 6.908 6.908 6.908 90.00 90.00 90.00
Space group F-43m (No. 216)
Inequivalent atoms, fractional coordinates:
Sr 0.000 0.000 0.000 (multiplicity 4)
Y 0.250 0.250 0.250 (multiplicity 4)
Cu 0.250 0.250 0.750 (multiplicity 4)

Calculated density = 4.84 g/cm3
Final energy = -3.38 eV/atom
Size of the total moment = 0.00 μB/cell

***

VASP calculation (GGA-PBEsol) on an optimized crystal structure of SiC3.

Lattice parameters (Å, degrees): 2.436 6.292 5.146 90.00 90.00 90.00
Space group Cmmm (No. 65)
Inequivalent atoms, fractional coordinates:
Si 0.000 0.000 0.000 (multiplicity 2)
C 0.000 0.000 0.500 (multiplicity 2)
C 0.000 0.500 0.301 (multiplicity 4)

Calculated density = 2.70 g/cm3
Final energy = -6.74 eV/atom
Formation energy without anion corrections = 1.93 eV per atom
Size of the total moment = 0.00 μB/cell

***

VASP calculation (GGA-PBEsol) on an optimized crystal structure of Be2ReO.

Lattice parameters (Å, degrees): 4.943 4.943 6.527 90.00 90.00 90.00
Space group I-42d (No. 122)
Inequivalent atoms, fractional coordinates:
Be 0.116 0.250 0.125 (multiplicity 8)
Re 0.000 0.000 0.500 (multiplicity 4)
O 0.000 0.000 0.000 (multiplicity 4)

Calculated density = 9.17 g/cm3
Final energy = -7.08 eV/atom
Formation energy without anion corrections = -0.43 eV per atom
Size of the total moment = 0.00 μB/cell

***

VASP calculation (GGA-PBEsol) on an optimized crystal structure of CaMgGeO4.

Lattice parameters (Å, degrees): 11.233 6.369 5.002 90.00 90.00 90.00
Space group Pnma (No. 62)
Inequivalent atoms, fractional coordinates:
Ca 0.226 0.250 0.011 (multiplicity 4)
Mg 0.000 0.000 0.500 (multiplicity 4)
Ge 0.080 0.750 0.076 (multiplicity 4)
O 0.058 0.250 0.745 (multiplicity 4)
O 0.080 0.750 0.728 (multiplicity 4)
O 0.148 0.531 0.235 (multiplicity 8)

Calculated density = 3.73 g/cm3
Final energy = -6.76 eV/atom
Formation energy without anion corrections = -2.50 eV per atom
Size of the total moment = 0.00 μB/cell

***

VASP calculation (GGA-PBEsol) on an optimized crystal structure of SrTlCl.

Lattice parameters (Å, degrees): 7.229 7.229 7.229 90.00 90.00 90.00
Space group F-43m (No. 216)
Inequivalent atoms, fractional coordinates:
Sr 0.000 0.000 0.000 (multiplicity 4)
Tl 0.000 0.000 0.500 (multiplicity 4)
Cl 0.250 0.250 0.250 (multiplicity 4)

Calculated density = 5.76 g/cm3
Final energy = -2.97 eV/atom
Formation energy without anion corrections = -0.81 eV per atom
Size of the total moment = 0.00 μB/cell

***

VASP calculation (GGA-PBEsol) on an optimized crystal structure of LuSeF.

Lattice parameters (Å, degrees): 3.9448 3.9448 17.3280 90.00 90.00 120.00
Space group P6_3/mmc (No. 194)
Inequivalent atoms, fractional coordinates:
Lu 0.0000 0.0000 0.0000 (multiplicity 2)
Lu 0.3333 0.6667 0.2500 (multiplicity 2)
Se 0.3333 0.6667 0.0895 (multiplicity 4)
F 0.0000 0.0000 0.2500 (multiplicity 2)
F 0.3333 0.6667 0.7500 (multiplicity 2)

Calculated density = 7.76 g/cm3
Final energy = -6.40 eV/atom
Formation energy without anion corrections = -2.85 eV per atom
Size of the total moment = 0.00 μB/cell